A relaxed structure of Ta2CdIr, computed with PBE.

- energy of formation (meV per atom) = 6

Structure (POSCAR):
```
Ta2CdIr
1.0
9.9096 -0.0093 -0.0054
9.4886 2.8579 -0.0054
9.4886 1.3934 2.4952
Cd Ir Ta
1 1 2
Direct
0.2500 0.2500 0.2500
0.7500 0.7500 0.7500
0.0068 0.0068 0.0068
0.4932 0.4932 0.4932
```

A relaxed structure of Rh4PbW, computed with PBE.

- energy of formation (meV per atom) = 386

Structure (POSCAR):
```
Rh4PbW
1.0
-1.5207 2.2964 4.3878
0.2343 5.1565 0.4408
-4.3622 2.7934 0.0845
Rh Pb W
4 1 1
Direct
0.6245 0.6245 0.1264
0.6245 0.1264 0.6245
0.6245 0.6245 0.6245
0.1264 0.6245 0.6245
0.0000 0.0000 0.0000
0.2500 0.2500 0.2500
```

A relaxed structure of Ca3Tb2PuTe6, computed with PBE.

- energy relative to the elements, uncorrected (eV per formula unit) = -17.1

Structure (POSCAR):
```
Ca3Tb2PuTe6
1.0
-5.2852 -5.1267 2.1559
4.6905 3.1055 5.2173
-4.6179 6.1009 -1.3577
Ca Tb Pu Te
3 2 1 6
Direct
0.1653 0.8347 0.5000
0.8347 0.1653 0.5000
0.5000 0.5000 0.5000
0.3329 0.6671 0.0000
0.6671 0.3329 0.0000
0.0000 0.0000 0.0000
0.9172 0.5800 0.7521
0.7446 0.7446 0.2465
0.0828 0.4200 0.2479
0.5800 0.9172 0.7521
0.2554 0.2554 0.7535
0.4200 0.0828 0.2479
```

Asked for E_tot across the records above, the calculation gives -33.5; -43.7; -65.5 eV per cell in order.